# 1
Computed, not measured: a relaxed structure of CaPSe3 at the PBE level of DFT.

Values from the calculation:
calculated volume: 118.9 Å³/cell
offset from the most stable computed form: 421 meV/atom
symmetry: No. 221
total magnetization: 0.00 Bohr magnetons per cell
total DFT energy (no corrections): -20.217 eV for the cell shown
N(E_F): 0.55 states/eV per atom
energy relative to the elements, uncorrected: -0.47 eV per atom
mass density: 4.30 g cm⁻³

a = 4.918 Å, b = 4.918 Å, c = 4.918 Å
α = 90.00°, β = 90.00°, γ = 90.00°
Sites, in units of the cell vectors:
Se: 0.500 0.000 0.000
P: 0.000 0.000 0.000
Ca: 0.500 0.500 0.500
Se: 0.000 0.500 0.000
Se: 0.000 0.000 0.500

# 2
Computed, not measured: a relaxed structure of CaP4Se at the PBE level of DFT.

Values from the calculation:
calculated volume: 130.3 Å³/cell
symmetry: No. 216
total magnetization: 0.00 Bohr magnetons per cell
total DFT energy (no corrections): -28.140 eV for the cell shown
energy relative to the elements, uncorrected: -0.17 eV per atom
mass density: 3.10 g cm⁻³

a = 5.691 Å, b = 5.691 Å, c = 5.691 Å
α = 60.00°, β = 60.00°, γ = 60.00°
Sites, in units of the cell vectors:
P: 0.793 0.402 0.402
P: 0.402 0.402 0.402
Se: 0.750 0.750 0.750
P: 0.402 0.793 0.402
Ca: 0.000 0.000 0.000
P: 0.402 0.402 0.793

# 3
Computed, not measured: a relaxed structure of CaPSe3 at the PBE level of DFT.

Values from the calculation:
calculated volume: 513.6 Å³/cell
offset from the most stable computed form: 0 meV/atom
symmetry: No. 14
total magnetization: 0.00 Bohr magnetons per cell
total DFT energy (no corrections): -89.285 eV for the cell shown
N(E_F): 0.00 states/eV per atom
energy relative to the elements, uncorrected: -0.89 eV per atom
mass density: 3.98 g cm⁻³

a = 7.607 Å, b = 6.954 Å, c = 11.729 Å
α = 55.87°, β = 90.00°, γ = 90.00°
Sites, in units of the cell vectors:
Se: 0.488 0.111 0.266
Se: 0.512 0.889 0.734
Se: 0.689 0.597 0.564
Ca: 0.115 0.284 0.253
Ca: 0.885 0.716 0.747
P: 0.893 0.372 0.564
Se: 0.204 0.773 0.551
Ca: 0.385 0.284 0.753
Se: 0.796 0.227 0.449
P: 0.393 0.628 0.936
Se: 0.296 0.773 0.051
Se: 0.704 0.227 0.949
Se: 0.811 0.597 0.064
P: 0.107 0.628 0.436
Se: 0.988 0.889 0.234
Se: 0.189 0.403 0.936
Se: 0.012 0.111 0.766
P: 0.607 0.372 0.064
Se: 0.311 0.403 0.436
Ca: 0.615 0.716 0.247

Which of these has the lowest mass density? CaP4Se

The highest mass density belongs to which entry? number 1

Which value of mass density does entry 1 give? 4.30 g cm⁻³